Tc2AsPb, optimized geometry, DFT PBEsol; excess energy over the best structure of this formula in the dataset = 0.59 eV per formula unit; E = -7.4576 eV/atom
1.0
-2.8856 -1.2275 0.6148
1.3252 -3.9513 -1.6690
1.4013 -1.2521 4.0772
As Tc Pb
1 2 1
Direct
0.5000 0.5000 0.5000
0.0000 0.5000 0.0000
0.0000 0.0000 0.5000
0.5000 0.0000 0.0000